Nd2Pd7 | PBE | relaxed

Summary:
Energy of formation = -0.64 eV per atom
Space group = R-3m
Density = 10.0 g/cm³
Total moment = 0.00 μB per formula unit

Unit cell a=5.4049 b=5.4049 c=13.9429 alpha=78.82 beta=78.82 gamma=60.00
Last column: nearest neighbours and their distance in Å.
Sites, in units of the cell vectors:
Nd 0.1465 0.1465 0.5605  9 Pd 3.05-3.23
Nd 0.0489 0.0489 0.8532  12 Pd 3.13-3.36
Nd 0.9511 0.9511 0.1468  12 Pd 3.13-3.36
Nd 0.8535 0.8535 0.4395  9 Pd 3.05-3.23
Pd 0.5000 0.5000 0.5000  6 Pd 2.73
Pd 0.8907 0.3867 0.3359  7 Pd 2.68-2.77
Pd 0.6133 0.1093 0.6641  7 Pd 2.68-2.77
Pd 0.5000 0.5000 0.0000  8 Pd 2.70-2.77
Pd 0.3867 0.3867 0.3359  7 Pd 2.68-2.77
Pd 0.3893 0.3893 0.8320  6 Pd 2.77
Pd 0.1093 0.6133 0.6641  7 Pd 2.68-2.77
Pd 0.7228 0.7228 0.8317  6 Pd 2.75-2.77
Pd 0.5000 0.0000 0.0000  8 Pd 2.70-2.77
Pd 0.2772 0.2772 0.1683  6 Pd 2.75-2.77
Pd 0.0000 0.5000 0.0000  8 Pd 2.70-2.77
Pd 0.3867 0.8907 0.3359  7 Pd 2.68-2.77
Pd 0.6107 0.6107 0.1680  6 Pd 2.77
Pd 0.6133 0.6133 0.6641  7 Pd 2.68-2.77